# NaLi4S2 PBE optimized geometry
# Formation energy without anion corrections: -0.384 eV/atom
data_NaLi4S2
_chemical_formula_sum 'Na2 Li8 S4'
_cell_length_a 4.4131
_cell_length_b 4.4131
_cell_length_c 13.5631
_cell_angle_alpha 90.00
_cell_angle_beta 90.00
_cell_angle_gamma 90.00
_space_group_name_H-M_alt 'I 4/m m m'
_space_group_IT_number 139
_space_group_name_Hall '-I 4 2'
loop_
_atom_site_label
_atom_site_fract_x
_atom_site_fract_y
_atom_site_fract_z
Na1 0.0000 0.0000 0.0000
Li1 0.0000 0.0000 0.2087
Li2 0.0000 0.5000 0.0000
S1 0.0000 0.0000 0.3811

# AcPr2Sm4 PBE optimized geometry
# Total energy: -0.164 Ha/atom
data_AcPr2Sm4
_chemical_formula_sum 'Ac2 Pr4 Sm8'
_cell_length_a 9.4656
_cell_length_b 9.4656
_cell_length_c 5.8952
_cell_angle_alpha 90.00
_cell_angle_beta 90.00
_cell_angle_gamma 90.00
_space_group_name_H-M_alt 'P 42/m n m'
_space_group_IT_number 136
_space_group_name_Hall '-P 4n 2n'
loop_
_atom_site_label
_atom_site_fract_x
_atom_site_fract_y
_atom_site_fract_z
Ac1 0.0000 0.0000 0.0000
Pr1 0.1960 0.1960 0.5000
Sm1 0.1155 0.3756 0.0000